Compound: MnFe2I6
Source: the Alexandria database
Functional: PBE-GGA
Structure: optimized geometry

Values from the calculation:
offset from the most stable computed form = 33 meV/atom
energy relative to the elements, uncorrected = -0.145 eV per atom
calculated total energy = -73.39 eV/cell

Unit cell a=7.4786 b=9.5720 c=9.5720 alpha=84.43 beta=81.15 gamma=81.15
Closest atoms and distances in Å follow each position.
Element x y z (fractional)
Fe: 0.8226 0.3892 0.2213  4 I 2.61-2.67
Fe: 0.1774 0.6108 0.7787  4 I 2.61-2.67
Fe: 0.6774 0.7787 0.6108  4 I 2.61-2.67
Fe: 0.3226 0.2213 0.3892  4 I 2.61-2.67
I: 0.6158 0.9647 0.8094  1 Fe 2.67, 1 Mn 2.90
I: 0.8763 0.5502 0.7082  2 Fe 2.61-2.63
I: 0.3763 0.7082 0.5502  2 Fe 2.61-2.63
I: 0.3842 0.0353 0.1906  1 Fe 2.67, 1 Mn 2.90
I: 0.6237 0.2918 0.4498  2 Fe 2.61-2.63
I: 0.1158 0.8094 0.9647  1 Fe 2.67, 1 Mn 2.90
I: 0.6329 0.6221 0.1228  1 Fe 2.63, 1 Mn 2.81
I: 0.3671 0.3779 0.8772  1 Fe 2.63, 1 Mn 2.81
I: 0.8671 0.8772 0.3779  1 Fe 2.63, 1 Mn 2.81
I: 0.8842 0.1906 0.0353  1 Fe 2.67, 1 Mn 2.90
I: 0.1237 0.4498 0.2918  2 Fe 2.61-2.63
I: 0.1329 0.1228 0.6221  1 Fe 2.63, 1 Mn 2.81
Mn: 0.7500 0.8888 0.1112  4 I 2.81-2.90
Mn: 0.2500 0.1112 0.8888  4 I 2.81-2.90

---

Compound: Rb5BiO
Source: the Alexandria database
Functional: PBE-GGA
Structure: optimized geometry

Values from the calculation:
energy relative to the elements, uncorrected = -0.518 eV per atom
calculated total energy = -17.30 eV/cell

Unit cell a=6.6140 b=8.4738 c=8.4738 alpha=65.05 beta=67.03 gamma=67.03
Closest atoms and distances in Å follow each position.
Element x y z (fractional)
Rb: 0.5254 0.2054 0.7946  1 O 2.69
Rb: 0.5254 0.7946 0.2054  1 O 2.69
Rb: 0.9626 0.5000 0.5000  1 O 2.67
Rb: 0.2540 0.7104 0.7104  1 O 2.74
Rb: 0.6748 0.2896 0.2896  1 O 2.74
O: 0.5591 0.5000 0.5000  5 Rb 2.67-2.74
Bi: 0.0296 0.0000 0.0000  6 Rb 3.69-3.82

---

Compound: Li2CoSe
Source: the Alexandria database
Functional: PBE-GGA
Structure: optimized geometry

Values from the calculation:
energy relative to the elements, uncorrected = -0.298 eV per atom
calculated total energy = -15.61 eV/cell

Unit cell a=4.1128 b=4.1128 c=4.1128 alpha=60.00 beta=60.00 gamma=60.00
Closest atoms and distances in Å follow each position.
Element x y z (fractional)
Li: 0.0000 0.0000 0.0000  4 Se 2.52, 4 Li 2.52
Li: 0.7500 0.7500 0.7500  4 Co 2.52, 4 Li 2.52
Se: 0.2500 0.2500 0.2500  4 Co 2.52, 4 Li 2.52
Co: 0.5000 0.5000 0.5000  4 Se 2.52, 4 Li 2.52

---

Compound: Li4SnAu5
Source: the Alexandria database
Functional: PBE-GGA
Structure: optimized geometry

Values from the calculation:
offset from the most stable computed form = 135 meV/atom
calculated total energy = -31.20 eV/cell
formation energy = -30 kJ per mole of atoms

Unit cell a=5.2440 b=6.4464 c=6.4464 alpha=80.48 beta=66.00 gamma=66.00
Closest atoms and distances in Å follow each position.
Element x y z (fractional)
Au: 0.6361 0.2793 0.4046  3 Li 2.53-2.72
Au: 0.3200 0.7207 0.5954  3 Li 2.53-2.72
Au: 0.0406 0.5954 0.2793  3 Li 2.53-2.72
Au: 0.6201 0.0000 0.0000  4 Li 2.58, 2 Sn 2.59-2.66
Au: 0.9154 0.4046 0.7207  3 Li 2.53-2.72
Li: 0.2061 0.1231 0.3970  4 Au 2.53-2.72
Li: 0.7262 0.8769 0.6030  4 Au 2.53-2.72
Li: 0.6030 0.6030 0.1231  4 Au 2.53-2.72
Li: 0.3292 0.3970 0.8769  4 Au 2.53-2.72
Sn: 0.1136 0.0000 0.0000  2 Au 2.59-2.66

---

Compound: Ca4Zn2Cd
Source: the Alexandria database
Functional: PBE-GGA
Structure: optimized geometry

Values from the calculation:
calculated total energy = -12.85 eV/cell
formation energy = -19 kJ per mole of atoms

Unit cell a=5.3008 b=5.3008 c=8.9523 alpha=72.78 beta=72.78 gamma=60.00
Closest atoms and distances in Å follow each position.
Element x y z (fractional)
Ca: 0.3792 0.3792 0.8625  4 Zn 3.18, 3 Cd 3.27
Ca: 0.6208 0.6208 0.1375  4 Zn 3.18, 3 Cd 3.27
Ca: 0.8728 0.8728 0.3817  4 Zn 3.17-3.28, 1 Cd 3.21
Ca: 0.1272 0.1272 0.6183  4 Zn 3.17-3.28, 1 Cd 3.21
Zn: 0.7470 0.7470 0.7590  8 Ca 3.17-3.28
Zn: 0.2530 0.2530 0.2410  8 Ca 3.17-3.28
Cd: 0.0000 0.0000 0.0000  8 Ca 3.21-3.27

---

Compound: ScBe2Ni
Source: the Alexandria database
Functional: PBE-GGA
Structure: optimized geometry

Values from the calculation:
offset from the most stable computed form = 146 meV/atom
calculated total energy = -20.11 eV/cell
formation energy = -13 kJ per mole of atoms

Unit cell a=2.7979 b=2.7979 c=6.1989 alpha=90.00 beta=90.00 gamma=90.00
Closest atoms and distances in Å follow each position.
Element x y z (fractional)
Be: 0.0000 0.0000 0.0672  4 Be 2.29, 1 Ni 2.31
Be: 0.5000 0.5000 0.2524  4 Be 2.29, 4 Ni 2.30
Sc: 0.5000 0.5000 0.7400  4 Ni 2.71, 4 Sc 2.80, 5 Be 2.83-3.02
Ni: 0.0000 0.0000 0.4405  5 Be 2.30-2.31

---

Values for total magnetic moment, μB/atom, ordered as above
1.444; 0.000; 0.183; 0.000; 0.000; 0.000